Entry 1:
Compound: BaLaSc2
Source: Alexandria
Functional: PBE
Structure: optimized geometry

Lattice parameters (Å, degrees): 6.039 6.039 6.534 81.63 81.63 34.28
Sites, in units of the cell vectors:
Ba 0.750 0.750 0.750
La 0.250 0.250 0.250
Sc 0.994 0.994 0.036
Sc 0.506 0.506 0.464

Entry 2:
Compound: BaLaSc2
Source: Alexandria
Functional: PBE
Structure: optimized geometry

Lattice parameters (Å, degrees): 6.111 6.111 6.492 83.03 83.03 33.84
Sites, in units of the cell vectors:
Ba 0.500 0.500 0.512
La 0.255 0.255 0.209
Sc 0.003 0.003 0.999
Sc 0.741 0.741 0.781

Entry 3:
Compound: BaLaSc2
Source: Alexandria
Functional: PBE
Structure: optimized geometry

Lattice parameters (Å, degrees): 3.786 4.583 7.987 90.00 90.00 90.00
Sites, in units of the cell vectors:
Ba 0.500 0.500 0.250
La 0.500 0.500 0.750
Sc 0.000 0.000 0.958
Sc 0.000 0.000 0.542

Entry 4:
Compound: BaLa2Sc
Source: Alexandria
Functional: PBE
Structure: optimized geometry

Lattice parameters (Å, degrees): 6.360 6.360 6.658 81.31 81.31 33.87
Sites, in units of the cell vectors:
Ba 0.750 0.750 0.750
La 0.988 0.988 0.034
La 0.512 0.512 0.466
Sc 0.250 0.250 0.250

Entry 5:
Compound: BaLaSc2
Source: Alexandria
Functional: PBE
Structure: optimized geometry

Lattice parameters (Å, degrees): 3.913 3.913 9.295 90.00 90.00 90.00
Sites, in units of the cell vectors:
Ba 0.000 0.000 0.474
La 0.500 0.500 0.810
Sc 0.000 0.000 0.028
Sc 0.500 0.500 0.189

Entry 6:
Compound: BaLa2Sc
Source: Alexandria
Functional: PBE
Structure: optimized geometry

Lattice parameters (Å, degrees): 3.796 3.796 10.493 90.00 90.00 90.00
Sites, in units of the cell vectors:
Ba 0.500 0.500 0.730
La 0.000 0.000 0.033
La 0.500 0.500 0.268
Sc 0.000 0.000 0.470

Entry 7:
Compound: BaLaSc2
Source: Alexandria
Functional: PBE
Structure: optimized geometry

Lattice parameters (Å, degrees): 8.992 8.992 7.195 51.32 51.32 90.00
Sites, in units of the cell vectors:
Sc 0.632 0.125 0.250
Sc 0.118 0.625 0.250
Sc 0.375 0.368 0.750
Sc 0.875 0.882 0.750
Ba 0.500 0.500 0.000
Ba 0.250 0.750 0.500
La 0.000 0.000 0.000
La 0.750 0.250 0.500

Entry 8:
Compound: BaLaSc2
Source: Alexandria
Functional: PBE
Structure: optimized geometry

Lattice parameters (Å, degrees): 3.799 3.799 9.482 90.00 90.00 89.97
Sites, in units of the cell vectors:
Ba 0.500 0.500 0.250
La 0.500 0.500 0.750
Sc 0.000 0.000 0.970
Sc 0.000 0.000 0.530

Entry 9:
Compound: BaLa2Sc
Source: Alexandria
Functional: PBE
Structure: optimized geometry

Lattice parameters (Å, degrees): 6.430 6.430 6.430 131.25 131.25 71.42
Sites, in units of the cell vectors:
Ba 0.750 0.250 0.500
La 0.000 0.000 0.000
La 0.250 0.750 0.500
Sc 0.500 0.500 0.000

Entry 10:
Compound: BaLaSc2
Source: Alexandria
Functional: PBE
Structure: optimized geometry

Lattice parameters (Å, degrees): 6.926 6.926 6.926 147.54 129.26 61.54
Sites, in units of the cell vectors:
Ba 0.515 0.515 0.000
La 0.229 0.729 0.500
Sc 0.982 0.982 0.000
Sc 0.774 0.274 0.500

Entry 11:
Compound: BaLa2Sc
Source: Alexandria
Functional: PBE
Structure: optimized geometry

Lattice parameters (Å, degrees): 9.167 9.167 7.385 51.64 51.64 90.00
Sites, in units of the cell vectors:
Sc 0.500 0.500 0.000
Sc 0.250 0.750 0.500
Ba 0.000 0.000 0.000
Ba 0.750 0.250 0.500
La 0.609 0.125 0.250
La 0.141 0.625 0.250
La 0.375 0.391 0.750
La 0.875 0.859 0.750

Entry 12:
Compound: BaLaSc4
Source: Alexandria
Functional: PBE
Structure: optimized geometry

Lattice parameters (Å, degrees): 6.555 6.555 6.555 60.00 60.00 60.00
Sites, in units of the cell vectors:
Ba 0.750 0.750 0.750
La 0.000 0.000 0.000
Sc 0.879 0.374 0.374
Sc 0.374 0.374 0.879
Sc 0.374 0.879 0.374
Sc 0.374 0.374 0.374

Across the entries above, energy of formation takes the values 27.3, 27.3, 24.2, 19.0, 18.0, 17.4, 58.0, 24.5, 23.7, 26.6, 46.2, 33.2 kJ per mole of atoms, respectively.